(1)
Below is a geometry-optimized TiIrS2Cl structure, with properties calculated at the PBE level.

Lattice parameters (Å, degrees): 4.684 4.684 4.614 90.00 90.00 90.00
Fractional coordinates of all 5 atoms:
Ir1 0.000 0.000 0.000
Cl1 0.000 0.000 0.500
S1 0.500 0.000 0.000
S2 0.000 0.500 0.000
Ti1 0.500 0.500 0.500

## Properties
ρ, kg/m3: 5571
Total magnetization, μB per formula unit: 0.1
Symmetry: P4/mmm, No. 123

---

(2)
Below is a geometry-optimized TiIrS2Cl structure, with properties calculated at the PBE level.

Lattice parameters (Å, degrees): 4.557 4.466 4.557 90.00 90.00 90.00
Fractional coordinates of all 5 atoms:
S1 0.000 0.000 0.500
Ti1 0.500 0.500 0.500
Ir1 0.000 0.500 0.000
Cl1 0.000 0.000 0.000
S2 0.500 0.000 0.000

## Properties
ρ, kg/m3: 6081
Total magnetization, μB per formula unit: 0.0
Symmetry: P4/mmm, No. 123

---

(3)
Below is a geometry-optimized TiIrSCl2 structure, with properties calculated at the PBE level.

Lattice parameters (Å, degrees): 4.715 4.715 4.760 90.00 90.00 90.00
Fractional coordinates of all 5 atoms:
Ir1 0.000 0.000 0.000
Cl1 0.500 0.000 0.000
Cl2 0.000 0.500 0.000
Ti1 0.500 0.500 0.500
S1 0.000 0.000 0.500

## Properties
ρ, kg/m3: 5384
Total magnetization, μB per formula unit: 0.1
Symmetry: P4/mmm, No. 123

---

(4)
Below is a geometry-optimized TiIrSCl2 structure, with properties calculated at the PBE level.

Lattice parameters (Å, degrees): 4.630 4.630 4.894 90.00 90.00 90.00
Fractional coordinates of all 5 atoms:
Ti1 0.000 0.000 0.000
Cl1 0.000 0.500 0.000
Cl2 0.500 0.000 0.000
S1 0.000 0.000 0.500
Ir1 0.500 0.500 0.500

## Properties
ρ, kg/m3: 5431
Total magnetization, μB per formula unit: 2.5
Symmetry: P4/mmm, No. 123

---

(5)
Below is a geometry-optimized TlIrSCl2 structure, with properties calculated at the PBE level.

Lattice parameters (Å, degrees): 5.211 5.211 4.417 90.00 90.00 90.00
Fractional coordinates of all 5 atoms:
Tl1 0.500 0.500 0.500
Cl1 0.000 0.500 0.000
S1 0.000 0.000 0.500
Ir1 0.000 0.000 0.000
Cl2 0.500 0.000 0.000

## Properties
ρ, kg/m3: 6917
Total magnetization, μB per formula unit: 0.0
Symmetry: P4/mmm, No. 123

---

(6)
Below is a geometry-optimized TlIrSCl2 structure, with properties calculated at the PBE level.

Lattice parameters (Å, degrees): 5.079 5.079 5.230 90.00 90.00 90.00
Fractional coordinates of all 5 atoms:
Cl1 0.000 0.500 0.000
S1 0.000 0.000 0.500
Cl2 0.500 0.000 0.000
Tl1 0.000 0.000 0.000
Ir1 0.500 0.500 0.500

## Properties
ρ, kg/m3: 6149
Total magnetization, μB per formula unit: 2.5
Symmetry: P4/mmm, No. 123

---

(7)
Below is a geometry-optimized VIrSCl2 structure, with properties calculated at the PBE level.

Lattice parameters (Å, degrees): 4.494 4.494 4.806 90.00 90.00 90.00
Fractional coordinates of all 5 atoms:
S1 0.000 0.000 0.500
Cl1 0.500 0.000 0.000
Cl2 0.000 0.500 0.000
V1 0.000 0.000 0.000
Ir1 0.500 0.500 0.500

## Properties
ρ, kg/m3: 5921
Total magnetization, μB per formula unit: 2.2
Symmetry: P4/mmm, No. 123

---

(8)
Below is a geometry-optimized VIrSCl2 structure, with properties calculated at the PBE level.

Lattice parameters (Å, degrees): 4.777 4.777 4.713 90.00 90.00 90.00
Fractional coordinates of all 5 atoms:
Cl1 0.500 0.000 0.000
V1 0.500 0.500 0.500
Ir1 0.000 0.000 0.000
S1 0.000 0.000 0.500
Cl2 0.000 0.500 0.000

## Properties
ρ, kg/m3: 5345
Total magnetization, μB per formula unit: 3.2
Symmetry: P4/mmm, No. 123

---

(9)
Below is a geometry-optimized IrWS2Cl structure, with properties calculated at the PBE level.

Lattice parameters (Å, degrees): 4.692 4.692 4.587 90.00 90.00 90.00
Fractional coordinates of all 5 atoms:
Ir1 0.000 0.000 0.000
S1 0.000 0.500 0.000
S2 0.500 0.000 0.000
W1 0.500 0.500 0.500
Cl1 0.000 0.000 0.500

## Properties
ρ, kg/m3: 7820
Total magnetization, μB per formula unit: 3.1
Symmetry: P4/mmm, No. 123

---

(10)
Below is a geometry-optimized IrWS2Cl structure, with properties calculated at the PBE level.

Lattice parameters (Å, degrees): 4.668 4.668 4.680 90.00 90.00 90.00
Fractional coordinates of all 5 atoms:
Cl1 0.000 0.000 0.500
Ir1 0.500 0.500 0.500
W1 0.000 0.000 0.000
S1 0.500 0.000 0.000
S2 0.000 0.500 0.000

## Properties
ρ, kg/m3: 7746
Total magnetization, μB per formula unit: 2.0
Symmetry: P4/mmm, No. 123

---

(11)
Below is a geometry-optimized ZrIrS2Cl structure, with properties calculated at the PBE level.

Lattice parameters (Å, degrees): 4.668 4.668 4.597 90.00 90.00 90.00
Fractional coordinates of all 5 atoms:
S1 0.500 0.000 0.000
S2 0.000 0.500 0.000
Ir1 0.000 0.000 0.000
Zr1 0.500 0.500 0.500
Cl1 0.000 0.000 0.500

## Properties
ρ, kg/m3: 6351
Total magnetization, μB per formula unit: 0.0
Symmetry: P4/mmm, No. 123

---

(12)
Below is a geometry-optimized ZrIrSCl2 structure, with properties calculated at the PBE level.

Lattice parameters (Å, degrees): 4.690 4.690 4.789 90.00 90.00 90.00
Fractional coordinates of all 5 atoms:
S1 0.000 0.000 0.500
Cl1 0.000 0.500 0.000
Zr1 0.500 0.500 0.500
Ir1 0.000 0.000 0.000
Cl2 0.500 0.000 0.000

## Properties
ρ, kg/m3: 6092
Total magnetization, μB per formula unit: 1.6
Symmetry: P4/mmm, No. 123

---

(13)
Below is a geometry-optimized ZrIrSCl2 structure, with properties calculated at the PBE level.

Lattice parameters (Å, degrees): 5.027 5.027 4.992 90.00 90.00 90.00
Fractional coordinates of all 5 atoms:
Zr1 0.000 0.000 0.000
S1 0.000 0.000 0.500
Cl1 0.500 0.000 0.000
Ir1 0.500 0.500 0.500
Cl2 0.000 0.500 0.000

## Properties
ρ, kg/m3: 5086
Total magnetization, μB per formula unit: 3.0
Symmetry: P4/mmm, No. 123

---

(14)
Below is a geometry-optimized ZrIrS2Cl structure, with properties calculated at the PBE level.

Lattice parameters (Å, degrees): 5.009 5.009 4.865 90.00 90.00 90.00
Fractional coordinates of all 5 atoms:
Ir1 0.500 0.500 0.500
S1 0.500 0.000 0.000
Cl1 0.000 0.000 0.500
S2 0.000 0.500 0.000
Zr1 0.000 0.000 0.000

## Properties
ρ, kg/m3: 5211
Total magnetization, μB per formula unit: 2.5
Symmetry: P4/mmm, No. 123

---

(15)
Below is a geometry-optimized SbIrCl2 structure, with properties calculated at the PBE level.

Lattice parameters (Å, degrees): 3.086 3.086 10.829 90.00 90.00 90.00
Fractional coordinates of all 4 atoms:
Cl1 0.000 0.000 0.100
Cl2 0.000 0.000 0.400
Ir1 0.500 0.500 0.250
Sb1 0.500 0.500 0.750

## Properties
ρ, kg/m3: 6197
Total magnetization, μB per formula unit: 2.9
Symmetry: P4/mmm, No. 123

---

(16)
Below is a geometry-optimized SbIr2Cl structure, with properties calculated at the PBE level.

Lattice parameters (Å, degrees): 4.863 4.863 7.824 71.89 71.89 90.00
Fractional coordinates of all 8 atoms:
Ir1 0.217 0.625 0.250
Sb1 0.000 0.000 0.000
Cl1 0.500 0.500 0.000
Ir2 0.875 0.783 0.750
Cl2 0.250 0.750 0.500
Ir3 0.375 0.467 0.750
Ir4 0.533 0.125 0.250
Sb2 0.750 0.250 0.500

## Properties
ρ, kg/m3: 10825
Total magnetization, μB per formula unit: 0.0
Symmetry: I-42d, No. 122

---

(17)
Below is a geometry-optimized Sb2IrCl structure, with properties calculated at the PBE level.

Lattice parameters (Å, degrees): 6.377 6.377 7.766 65.76 65.76 90.00
Fractional coordinates of all 8 atoms:
Cl1 0.500 0.500 0.000
Sb1 0.875 0.951 0.750
Ir1 0.000 0.000 0.000
Sb2 0.701 0.125 0.250
Sb3 0.375 0.299 0.750
Ir2 0.750 0.250 0.500
Sb4 0.049 0.625 0.250
Cl2 0.250 0.750 0.500

## Properties
ρ, kg/m3: 6086
Total magnetization, μB per formula unit: 0.0
Symmetry: I-42d, No. 122

---

(18)
Below is a geometry-optimized SbIr2Cl structure, with properties calculated at the PBE level.

Lattice parameters (Å, degrees): 3.047 3.047 10.030 90.00 90.00 123.13
Fractional coordinates of all 4 atoms:
Ir1 0.500 0.500 0.226
Sb1 0.000 0.000 0.459
Ir2 0.000 0.000 0.005
Cl1 0.500 0.500 0.810

## Properties
ρ, kg/m3: 11537
Total magnetization, μB per formula unit: 0.0
Symmetry: Cmm2, No. 35

---

(19)
Below is a geometry-optimized SbIrCl2 structure, with properties calculated at the PBE level.

Lattice parameters (Å, degrees): 3.089 5.395 4.580 90.00 90.00 90.00
Fractional coordinates of all 4 atoms:
Cl1 0.000 0.000 0.000
Ir1 0.500 0.000 0.500
Sb1 0.000 0.500 0.500
Cl2 0.500 0.500 0.000

## Properties
ρ, kg/m3: 8372
Total magnetization, μB per formula unit: 0.0
Symmetry: Pmmm, No. 47

---

(20)
Below is a geometry-optimized SbIr2Cl structure, with properties calculated at the PBE level.

Lattice parameters (Å, degrees): 4.584 4.584 4.584 60.00 60.00 60.00
Fractional coordinates of all 4 atoms:
Cl1 0.000 0.000 0.000
Ir1 0.250 0.250 0.250
Sb1 0.500 0.500 0.500
Ir2 0.750 0.750 0.750

## Properties
ρ, kg/m3: 13208
Total magnetization, μB per formula unit: 0.0
Symmetry: Fm-3m, No. 225

---

(21)
Below is a geometry-optimized Sb2IrCl structure, with properties calculated at the PBE level.

Lattice parameters (Å, degrees): 4.829 4.829 4.829 60.00 60.00 60.00
Fractional coordinates of all 4 atoms:
Ir1 0.500 0.500 0.500
Cl1 0.000 0.000 0.000
Sb1 0.750 0.750 0.750
Sb2 0.250 0.250 0.250

## Properties
ρ, kg/m3: 9827
Total magnetization, μB per formula unit: 0.0
Symmetry: Fm-3m, No. 225

---

(22)
Below is a geometry-optimized SbIr2Cl structure, with properties calculated at the PBE level.

Lattice parameters (Å, degrees): 3.197 3.197 7.947 90.00 90.00 90.00
Fractional coordinates of all 4 atoms:
Ir1 0.000 0.000 0.042
Cl1 0.500 0.500 0.816
Ir2 0.500 0.500 0.212
Sb1 0.000 0.000 0.431

## Properties
ρ, kg/m3: 11073
Total magnetization, μB per formula unit: 0.0
Symmetry: P4mm, No. 99

---

(23)
Below is a geometry-optimized SbIrCl2 structure, with properties calculated at the PBE level.

Lattice parameters (Å, degrees): 10.774 10.774 10.774 18.51 18.51 18.51
Fractional coordinates of all 4 atoms:
Sb1 0.000 0.000 0.000
Cl1 0.123 0.123 0.123
Cl2 0.877 0.877 0.877
Ir1 0.500 0.500 0.500

## Properties
ρ, kg/m3: 5808
Total magnetization, μB per formula unit: 0.7
Symmetry: R-3m, No. 166

---

(24)
Below is a geometry-optimized Sb2IrCl structure, with properties calculated at the PBE level.

Lattice parameters (Å, degrees): 4.909 4.909 4.909 60.00 60.00 60.00
Fractional coordinates of all 4 atoms:
Sb1 0.750 0.750 0.750
Sb2 0.000 0.000 0.000
Ir1 0.250 0.250 0.250
Cl1 0.500 0.500 0.500

## Properties
ρ, kg/m3: 9351
Total magnetization, μB per formula unit: 0.0
Symmetry: F-43m, No. 216

---

(25)
Below is a geometry-optimized SbIrCl2 structure, with properties calculated at the PBE level.

Lattice parameters (Å, degrees): 6.441 6.441 6.441 150.36 137.71 52.49
Fractional coordinates of all 4 atoms:
Ir1 0.494 0.494 0.000
Cl1 0.694 0.194 0.500
Sb1 0.323 0.823 0.500
Cl2 0.989 0.989 0.000

## Properties
ρ, kg/m3: 7227
Total magnetization, μB per formula unit: 0.0
Symmetry: Imm2, No. 44

---

(26)
Below is a geometry-optimized SbIrCl2 structure, with properties calculated at the PBE level.

Lattice parameters (Å, degrees): 4.223 4.223 4.454 90.00 90.00 90.00
Fractional coordinates of all 4 atoms:
Sb1 0.000 0.500 0.500
Cl1 0.000 0.000 0.000
Cl2 0.500 0.500 0.000
Ir1 0.500 0.000 0.500

## Properties
ρ, kg/m3: 8045
Total magnetization, μB per formula unit: 0.0
Symmetry: P4/mmm, No. 123

---

(27)
Below is a geometry-optimized SbIr2Cl structure, with properties calculated at the PBE level.

Lattice parameters (Å, degrees): 10.037 10.037 10.037 17.61 17.61 17.61
Fractional coordinates of all 4 atoms:
Ir1 0.994 0.994 0.994
Cl1 0.724 0.724 0.724
Ir2 0.262 0.262 0.262
Sb1 0.520 0.520 0.520

## Properties
ρ, kg/m3: 11139
Total magnetization, μB per formula unit: 0.0
Symmetry: R3m, No. 160

---

(28)
Below is a geometry-optimized SbIrCl2 structure, with properties calculated at the PBE level.

Lattice parameters (Å, degrees): 3.014 4.361 6.109 90.00 90.00 90.00
Fractional coordinates of all 4 atoms:
Cl1 0.000 0.000 0.012
Sb1 0.500 0.500 0.750
Ir1 0.500 0.500 0.250
Cl2 0.000 0.000 0.488

## Properties
ρ, kg/m3: 7959
Total magnetization, μB per formula unit: 1.2
Symmetry: Pmmm, No. 47

---

(29)
Below is a geometry-optimized SbIrCl2 structure, with properties calculated at the PBE level.

Lattice parameters (Å, degrees): 3.265 3.265 11.452 90.00 90.00 120.14
Fractional coordinates of all 4 atoms:
Sb1 0.500 0.500 0.750
Cl1 0.000 0.000 0.398
Cl2 0.000 0.000 0.102
Ir1 0.500 0.500 0.250

## Properties
ρ, kg/m3: 6052
Total magnetization, μB per formula unit: 0.0
Symmetry: Cmmm, No. 65

---

Energy above the lowest structure with this stoichiometry list, top to bottom, in meV/atom: 0, 832, 114, 0, 0, 1354, 157, 0, 188, 0, 0, 62, 0, 142, 1118, 467, 330, 353, 847, 530, 490, 261, 808, 867, 565, 1179, 262, 1234, 695